No. 1
# Th2TlP GGA-PBE optimized geometry
data_Th2TlP
_chemical_formula_sum 'Th6 Tl3 P3'
_symmetry_space_group_name_H-M 'R 3 m'
_symmetry_Int_Tables_number 160
_symmetry_space_group_name_Hall 'R 3 -2"'
_cell_length_a 3.9670
_cell_length_b 3.9670
_cell_length_c 25.5471
_cell_angle_alpha 90.00
_cell_angle_beta 90.00
_cell_angle_gamma 120.00
loop_
_atom_site_label
_atom_site_type_symbol
_atom_site_fract_x
_atom_site_fract_y
_atom_site_fract_z
_atom_site_occupancy
Th1 Th 0.0000 0.0000 0.0000 1
Th2 Th 0.0000 0.0000 0.2013 1
Tl1 Tl 0.0000 0.0000 0.7676 1
P1 P 0.0000 0.0000 0.6004 1
# Energy of formation from the pure elements (kcal/mol of atoms): -17.54
# Relative energy among the computed polymorphs (eV/atom): 0.020
# E_tot (eV/cell): -76.97
# DOS at the Fermi energy (states/eV per cell): 8.37

No. 2
# LaSnAu GGA-PBE optimized geometry
data_LaSnAu
_chemical_formula_sum 'La2 Sn2 Au2'
_symmetry_space_group_name_H-M 'P 1'
_symmetry_Int_Tables_number 1
_symmetry_space_group_name_Hall 'P 1'
_cell_length_a 4.4689
_cell_length_b 4.4937
_cell_length_c 8.8629
_cell_angle_alpha 75.67
_cell_angle_beta 75.62
_cell_angle_gamma 89.96
loop_
_atom_site_label
_atom_site_type_symbol
_atom_site_fract_x
_atom_site_fract_y
_atom_site_fract_z
_atom_site_occupancy
La1 La 0.0000 0.0000 0.0000 1
La2 La 0.2571 0.7401 0.4996 1
Sn1 Sn 0.4158 0.4304 0.1674 1
Sn2 Sn 0.6825 0.1548 0.6678 1
Au1 Au 0.5603 0.5695 0.8420 1
Au2 Au 0.8293 0.2929 0.3428 1
# Energy of formation from the pure elements (kcal/mol of atoms): -17.99
# E_tot (eV/cell): -29.10
# DOS at the Fermi energy (states/eV per cell): 5.46

No. 3
# Ga2CuTc2 GGA-PBE optimized geometry
data_Ga2CuTc2
_chemical_formula_sum 'Ga4 Cu2 Tc4'
_symmetry_space_group_name_H-M 'P 4/m b m'
_symmetry_Int_Tables_number 127
_symmetry_space_group_name_Hall '-P 4 2ab'
_cell_length_a 6.4500
_cell_length_b 6.4500
_cell_length_c 3.4868
_cell_angle_alpha 90.00
_cell_angle_beta 90.00
_cell_angle_gamma 90.00
loop_
_atom_site_label
_atom_site_type_symbol
_atom_site_fract_x
_atom_site_fract_y
_atom_site_fract_z
_atom_site_occupancy
Ga1 Ga 0.1375 0.3625 0.0000 1
Cu1 Cu 0.0000 0.0000 0.0000 1
Tc1 Tc 0.1657 0.6657 0.5000 1
# Energy of formation from the pure elements (kcal/mol of atoms): 2.23
# Relative energy among the computed polymorphs (eV/atom): 0.000
# E_tot (eV/cell): -60.80
# DOS at the Fermi energy (states/eV per cell): 7.51

No. 4
# Mn2Au GGA-PBE optimized geometry
data_Mn2Au
_chemical_formula_sum 'Mn6 Au3'
_symmetry_space_group_name_H-M 'R -3 m'
_symmetry_Int_Tables_number 166
_symmetry_space_group_name_Hall '-R 3 2"'
_cell_length_a 2.7131
_cell_length_b 2.7131
_cell_length_c 19.0448
_cell_angle_alpha 90.00
_cell_angle_beta 90.00
_cell_angle_gamma 120.00
loop_
_atom_site_label
_atom_site_type_symbol
_atom_site_fract_x
_atom_site_fract_y
_atom_site_fract_z
_atom_site_occupancy
Mn1 Mn 0.0000 0.0000 0.2105 1
Au1 Au 0.0000 0.0000 0.0000 1
# Energy of formation from the pure elements (kcal/mol of atoms): 7.88
# E_tot (eV/cell): -61.77
# DOS at the Fermi energy (states/eV per cell): 12.03